! CeMg14Co | Alexandria | PBE | optimized geometry; values from VASP
! Fermi-level density of states	0.922	states/eV per atom
! energy relative to the elements	0.109	eV per atom
! size of the total moment	3.19	μB per formula unit
&SYSTEM
  ibrav = 0, nat = 16, ntyp = 3
/
ATOMIC_SPECIES
Ce 140.12 Ce.upf
Mg 24.30 Mg.upf
Co 58.93 Co.upf
ATOMIC_POSITIONS angstrom
Ce 0.000 0.000 5.086
Mg 4.765 -2.751 0.000
Mg 1.683 2.733 5.086
Mg 1.651 -2.751 0.000
Mg 4.734 2.733 5.086
Mg 3.208 -0.054 0.000
Mg 3.208 0.091 5.086
Mg 3.208 3.769 2.329
Mg 3.208 3.769 7.843
Mg 1.548 0.894 2.329
Mg 1.548 0.894 7.843
Mg 4.868 0.894 2.329
Mg 4.868 0.894 7.843
Mg 3.208 -1.852 2.694
Mg 3.208 -1.852 7.478
Co 0.000 0.000 0.000
CELL_PARAMETERS angstrom
3.208 -5.557 0.000
3.208 5.557 0.000
0.000 0.000 10.171

! BHBr2 | Alexandria | PBE | optimized geometry; values from VASP
! Fermi-level density of states	0.000	states/eV per atom
! size of the total moment	0.00	μB per formula unit
&SYSTEM
  ibrav = 0, nat = 4, ntyp = 3
/
ATOMIC_SPECIES
B 10.81 B.upf
H 1.01 H.upf
Br 79.90 Br.upf
ATOMIC_POSITIONS angstrom
B -1.047 -3.972 -1.816
H -1.241 -3.664 -0.682
Br 2.339 -5.952 -6.329
Br 0.049 -5.477 -2.205
CELL_PARAMETERS angstrom
-1.579 -2.639 -3.611
4.187 -2.992 -3.116
-1.488 -5.319 1.779

Computed values of energy above the most stable polymorph in this dataset (unit: meV/atom) for the preceding records, in sequence: 39.0 0.0.